[1]
Computed, not measured: a relaxed structure of KTl4Au5 at the GGA-PBE level of DFT.

Structure (CIF):
```
data_KTl4Au5
_cell_length_a 7.9347
_cell_length_b 11.9584
_cell_length_c 5.6050
_cell_angle_alpha 90.00
_cell_angle_beta 90.00
_cell_angle_gamma 90.00
_symmetry_space_group_name_H-M 'P m m n'
_symmetry_Int_Tables_number 59
loop_
_symmetry_equiv_pos_as_xyz
'x,y,z'
'-x,-y,-z'
'-x+1/2,-y+1/2,z'
'x+1/2,y+1/2,-z'
'x+1/2,-y,-z'
'-x+1/2,y,z'
'-x,y+1/2,-z'
'x,-y+1/2,z'
loop_
_atom_site_label
_atom_site_type_symbol
_atom_site_fract_x
_atom_site_fract_y
_atom_site_fract_z
K1 K 0.2500 0.2500 0.0069
Tl1 Tl 0.0186 0.7500 0.5124
Tl2 Tl 0.2500 0.5126 0.6541
Au1 Au 0.0732 0.5684 0.1734
Au2 Au 0.2500 0.7500 0.9315
```

=====

[2]
Computed, not measured: a relaxed structure of KTlAu at the GGA-PBE level of DFT.

Structure (CIF):
```
data_KTlAu
_cell_length_a 5.0614
_cell_length_b 5.0614
_cell_length_c 4.2928
_cell_angle_alpha 90.00
_cell_angle_beta 90.00
_cell_angle_gamma 120.00
_symmetry_space_group_name_H-M 'P -6 m 2'
_symmetry_Int_Tables_number 187
_symmetry_space_group_name_Hall 'P -6 2'
loop_
_atom_site_label
_atom_site_type_symbol
_atom_site_fract_x
_atom_site_fract_y
_atom_site_fract_z
K1 K 0.0000 0.0000 0.0000
Tl1 Tl 0.6667 0.3333 0.5000
Au1 Au 0.3333 0.6667 0.5000
```

=====

[3]
Computed, not measured: a relaxed structure of K3Tl5Au2 at the GGA-PBE level of DFT.

Structure (CIF):
```
data_K3Tl5Au2
_cell_length_a 12.8003
_cell_length_b 14.6490
_cell_length_c 7.4045
_cell_angle_alpha 90.00
_cell_angle_beta 90.00
_cell_angle_gamma 90.00
_symmetry_space_group_name_H-M 'I b a m'
_symmetry_Int_Tables_number 72
_symmetry_space_group_name_Hall '-I 2 2c'
loop_
_atom_site_label
_atom_site_type_symbol
_atom_site_fract_x
_atom_site_fract_y
_atom_site_fract_z
K1 K 0.0000 0.0000 0.2500
K2 K 0.2391 0.3666 0.0000
Tl1 Tl 0.0000 0.2508 0.2500
Tl2 Tl 0.0000 0.5000 0.2500
Tl3 Tl 0.1483 0.3795 0.5000
Au1 Au 0.1336 0.1485 0.0000
```

=====

[4]
Computed, not measured: a relaxed structure of KTlAu at the GGA-PBE level of DFT.

Structure (CIF):
```
data_KTlAu
_cell_length_a 3.9072
_cell_length_b 3.9072
_cell_length_c 12.0225
_cell_angle_alpha 90.00
_cell_angle_beta 90.00
_cell_angle_gamma 90.00
_symmetry_space_group_name_H-M 'I 4 m m'
_symmetry_Int_Tables_number 107
_symmetry_space_group_name_Hall 'I 4 -2'
loop_
_atom_site_label
_atom_site_type_symbol
_atom_site_fract_x
_atom_site_fract_y
_atom_site_fract_z
K1 K 0.0000 0.0000 0.0000
Tl1 Tl 0.0000 0.0000 0.7103
Au1 Au 0.0000 0.0000 0.3078
```

=====

[5]
Computed, not measured: a relaxed structure of K4Tl5Au6 at the GGA-PBE level of DFT.

Structure (CIF):
```
data_K4Tl5Au6
_cell_length_a 4.8659
_cell_length_b 22.1598
_cell_length_c 17.4623
_cell_angle_alpha 90.00
_cell_angle_beta 90.00
_cell_angle_gamma 90.00
_symmetry_space_group_name_H-M 'C m c 21'
_symmetry_Int_Tables_number 36
_symmetry_space_group_name_Hall 'C 2c -2'
loop_
_atom_site_label
_atom_site_type_symbol
_atom_site_fract_x
_atom_site_fract_y
_atom_site_fract_z
K1 K 0.0000 0.0055 0.0000
K2 K 0.0000 0.0340 0.2686
K3 K 0.0000 0.1631 0.7976
K4 K 0.0000 0.1797 0.4369
Tl1 Tl 0.0000 0.1449 0.1173
Tl2 Tl 0.0000 0.3064 0.1026
Tl3 Tl 0.0000 0.3361 0.7734
Tl4 Tl 0.0000 0.3565 0.4689
Tl5 Tl 0.0000 0.4446 0.1769
Au1 Au 0.0000 0.1167 0.6187
Au2 Au 0.0000 0.2165 0.9775
Au3 Au 0.0000 0.2315 0.2443
Au4 Au 0.0000 0.4285 0.6319
Au5 Au 0.0000 0.4296 0.8904
Au6 Au 0.0000 0.4469 0.3489
```

=====

[6]
Computed, not measured: a relaxed structure of KTl2Au2 at the GGA-PBE level of DFT.

Structure (CIF):
```
data_KTl2Au2
_cell_length_a 4.8699
_cell_length_b 4.8699
_cell_length_c 12.2987
_cell_angle_alpha 90.00
_cell_angle_beta 90.00
_cell_angle_gamma 90.00
_symmetry_space_group_name_H-M 'I 4/m m m'
_symmetry_Int_Tables_number 139
_symmetry_space_group_name_Hall '-I 4 2'
loop_
_atom_site_label
_atom_site_type_symbol
_atom_site_fract_x
_atom_site_fract_y
_atom_site_fract_z
K1 K 0.0000 0.0000 0.0000
Tl1 Tl 0.0000 0.5000 0.2500
Au1 Au 0.0000 0.0000 0.3897
```

=====

[7]
Computed, not measured: a relaxed structure of KTlAu3 at the GGA-PBE level of DFT.

Structure (CIF):
```
data_KTlAu3
_cell_length_a 5.8318
_cell_length_b 5.8318
_cell_length_c 5.8318
_cell_angle_alpha 90.00
_cell_angle_beta 90.00
_cell_angle_gamma 90.00
_symmetry_space_group_name_H-M 'P m -3 m'
_symmetry_Int_Tables_number 221
_symmetry_space_group_name_Hall '-P 4 2 3'
loop_
_atom_site_label
_atom_site_type_symbol
_atom_site_fract_x
_atom_site_fract_y
_atom_site_fract_z
K1 K 0.0000 0.0000 0.0000
Tl1 Tl 0.5000 0.5000 0.5000
Au1 Au 0.0000 0.0000 0.5000
```

=====

[8]
Computed, not measured: a relaxed structure of K3Tl2Au at the GGA-PBE level of DFT.

Structure (CIF):
```
data_K3Tl2Au
_cell_length_a 17.0506
_cell_length_b 4.7309
_cell_length_c 13.8193
_cell_angle_alpha 90.00
_cell_angle_beta 117.09
_cell_angle_gamma 90.00
_symmetry_space_group_name_H-M 'C 1 2/m 1'
_symmetry_Int_Tables_number 12
_symmetry_space_group_name_Hall '-C 2y'
loop_
_atom_site_label
_atom_site_type_symbol
_atom_site_fract_x
_atom_site_fract_y
_atom_site_fract_z
K1 K 0.1055 0.0000 0.2407
K2 K 0.1551 0.5000 0.0168
K3 K 0.1611 0.0000 0.5753
Tl1 Tl 0.0000 0.5000 0.3809
Tl2 Tl 0.1104 0.0000 0.7977
Au1 Au 0.2078 0.5000 0.7864
```

=====

[9]
Computed, not measured: a relaxed structure of K4TlAu at the GGA-PBE level of DFT.

Structure (CIF):
```
data_K4TlAu
_cell_length_a 10.5461
_cell_length_b 15.5651
_cell_length_c 7.1367
_cell_angle_alpha 90.00
_cell_angle_beta 113.71
_cell_angle_gamma 90.00
_symmetry_space_group_name_H-M 'C 1 2/c 1'
_symmetry_Int_Tables_number 15
_symmetry_space_group_name_Hall '-C 2yc'
loop_
_atom_site_label
_atom_site_type_symbol
_atom_site_fract_x
_atom_site_fract_y
_atom_site_fract_z
K1 K 0.1133 0.1715 0.0683
K2 K 0.2103 0.4270 0.3376
Tl1 Tl 0.0000 0.3728 0.7500
Au1 Au 0.0000 0.0009 0.2500
```

=====

[10]
Computed, not measured: a relaxed structure of KTlAu4 at the GGA-PBE level of DFT.

Structure (CIF):
```
data_KTlAu4
_cell_length_a 8.1640
_cell_length_b 8.1640
_cell_length_c 8.1640
_cell_angle_alpha 90.00
_cell_angle_beta 90.00
_cell_angle_gamma 90.00
_symmetry_space_group_name_H-M 'F -4 3 m'
_symmetry_Int_Tables_number 216
_symmetry_space_group_name_Hall 'F -4 2 3'
loop_
_atom_site_label
_atom_site_type_symbol
_atom_site_fract_x
_atom_site_fract_y
_atom_site_fract_z
K1 K 0.0000 0.0000 0.0000
Tl1 Tl 0.2500 0.2500 0.7500
Au1 Au 0.1252 0.1252 0.3748
```

=====

[11]
Computed, not measured: a relaxed structure of KTl6Au2 at the GGA-PBE level of DFT.

Structure (CIF):
```
data_KTl6Au2
_cell_length_a 4.7798
_cell_length_b 4.7798
_cell_length_c 11.7815
_cell_angle_alpha 90.00
_cell_angle_beta 90.00
_cell_angle_gamma 90.00
_symmetry_space_group_name_H-M 'P 4/m m m'
_symmetry_Int_Tables_number 123
_symmetry_space_group_name_Hall '-P 4 2'
loop_
_atom_site_label
_atom_site_type_symbol
_atom_site_fract_x
_atom_site_fract_y
_atom_site_fract_z
K1 K 0.0000 0.0000 0.0000
Tl1 Tl 0.0000 0.0000 0.5000
Tl2 Tl 0.0000 0.5000 0.2730
Tl3 Tl 0.5000 0.5000 0.5000
Au1 Au 0.5000 0.5000 0.1155
```

=====

[12]
Computed, not measured: a relaxed structure of KTlAu at the GGA-PBE level of DFT.

Structure (CIF):
```
data_KTlAu
_cell_length_a 4.6232
_cell_length_b 14.2367
_cell_length_c 8.2158
_cell_angle_alpha 90.00
_cell_angle_beta 90.00
_cell_angle_gamma 90.00
_symmetry_space_group_name_H-M 'A m m 2'
_symmetry_Int_Tables_number 38
_symmetry_space_group_name_Hall 'A 2 -2'
loop_
_atom_site_label
_atom_site_type_symbol
_atom_site_fract_x
_atom_site_fract_y
_atom_site_fract_z
K1 K 0.0000 0.0000 0.0000
K2 K 0.0000 0.2053 0.3813
Tl1 Tl 0.5000 0.0000 0.3382
Tl2 Tl 0.5000 0.1267 0.7144
Au1 Au 0.0000 0.0000 0.5879
Au2 Au 0.5000 0.1662 0.0856
```

=====

Formation enthalpy at 0 K, record by record: -74.0; -170.1; -159.9; -168.2; -176.3; -178.8; 758.8; -123.0; -118.6; -143.8; -87.6; -219.7 meV per atom